Material: BaAgSO
Method: DFT, PBE
State: optimized geometry

Properties
Electronic total energy: -4.471 eV per atom
Symmetry: No. 129

abc: 5.077 5.077 7.498
angles: 90.00 90.00 90.00
Atoms (fractional coordinates):
Ba1 0.250 0.750 0.000
Ba2 0.750 0.250 0.000
Ag1 0.250 0.250 0.384
Ag2 0.750 0.750 0.616
S1 0.250 0.250 0.692
S2 0.750 0.750 0.308
O1 0.250 0.250 0.111
O2 0.750 0.750 0.889